[1]
# Ce2Mg3In4

A relaxed structure of Ce2Mg3In4 (PBE, Alexandria).

## Properties
- formation enthalpy at 0 K (meV/atom) = -229
- total magnetic moment (Bohr magnetons per cell) = 4.25
- density (g/cm3) = 5.81

abc: 9.130 9.130 8.463
angles: 90.00 90.00 138.82
Sites, in units of the cell vectors:
Ce: 0.101 0.899 0.901
Ce: 0.399 0.601 0.401
Ce: 0.601 0.399 0.599
Ce: 0.899 0.101 0.099
Mg: 0.000 0.000 0.500
Mg: 0.016 0.484 0.750
Mg: 0.484 0.016 0.250
Mg: 0.500 0.500 0.000
Mg: 0.516 0.984 0.750
Mg: 0.984 0.516 0.250
In: 0.172 0.828 0.523
In: 0.188 0.312 0.750
In: 0.312 0.188 0.250
In: 0.328 0.672 0.023
In: 0.672 0.328 0.977
In: 0.688 0.812 0.750
In: 0.812 0.688 0.250
In: 0.828 0.172 0.477


[2]
# NdTlHg2

A relaxed structure of NdTlHg2 (PBE, Alexandria).

## Properties
- formation enthalpy at 0 K (meV/atom) = -170
- total magnetic moment (Bohr magnetons per cell) = 0.00
- density (g/cm3) = 10.35

abc: 9.397 9.397 9.397
angles: 23.96 23.96 23.96
Sites, in units of the cell vectors:
Nd: 0.000 0.000 0.000
Tl: 0.167 0.167 0.167
Hg: 0.417 0.417 0.417
Hg: 0.583 0.583 0.583


[3]
# CoBr

A relaxed structure of CoBr (PBE, Alexandria).

## Properties
- raw formation energy (eV/atom) = 0.711
- total magnetic moment (Bohr magnetons per cell) = 2.05
- density (g/cm3) = 4.83

abc: 3.499 3.499 4.500
angles: 90.00 90.00 120.00
Sites, in units of the cell vectors:
Co: 0.000 0.000 0.000
Br: 0.000 0.000 0.500


[4]
# TeIrBrCl2

A relaxed structure of TeIrBrCl2 (PBE, Alexandria).

## Properties
- raw formation energy (eV/atom) = 0.587
- total magnetic moment (Bohr magnetons per cell) = 1.65
- density (g/cm3) = 5.68

abc: 5.139 5.139 5.210
angles: 90.00 90.00 90.00
Sites, in units of the cell vectors:
Te: 0.000 0.000 0.000
Ir: 0.000 0.000 0.500
Br: 0.500 0.500 0.500
Cl: 0.000 0.500 0.000
Cl: 0.500 0.000 0.000